# MgRe

An optimized crystal structure of MgRe (PBE-GGA, Alexandria via LeMat-Bulk).

Cell: 5.286 5.286 4.401 Å, 90.00 90.00 129.81°
Fractional coordinates of all 6 atoms:
Mg (0.000, 0.000, 0.000)
Mg (0.169, 0.831, 0.500)
Mg (0.831, 0.169, 0.500)
Re (0.332, 0.668, 0.000)
Re (0.500, 0.500, 0.500)
Re (0.668, 0.332, 0.000)

Calculated values
**Calculated formation energy**: 0.20 eV/atom
**Energy relative to the lowest polymorph listed for this composition**: 136 meV/atom
**Total moment**: 0.000 μB/cell
**Fermi-level density of states**: 3.2 states/eV per cell


# PrCuBiRh

An optimized crystal structure of PrCuBiRh (PBE-GGA, Alexandria via LeMat-Bulk).

Cell: 4.924 4.924 4.924 Å, 60.00 60.00 60.00°
Fractional coordinates of all 4 atoms:
Pr (0.000, 0.000, 0.000)
Cu (0.750, 0.750, 0.750)
Bi (0.500, 0.500, 0.500)
Rh (0.250, 0.250, 0.250)

Calculated values
**Calculated formation energy**: -0.34 eV/atom
**Total moment**: 0.000 μB/cell
**Fermi-level density of states**: 2.3 states/eV per cell


# Tb2Ho5Tm2

An optimized crystal structure of Tb2Ho5Tm2 (PBE-GGA, Alexandria via LeMat-Bulk).

Cell: 3.511 7.873 10.548 Å, 102.88 90.10 102.86°
Fractional coordinates of all 9 atoms:
Tb (0.000, 0.000, 0.168)
Tb (0.000, 0.000, 0.832)
Ho (0.000, 0.000, 0.500)
Ho (0.333, 0.666, 0.279)
Ho (0.333, 0.666, 0.944)
Ho (0.667, 0.334, 0.056)
Ho (0.667, 0.334, 0.721)
Tm (0.333, 0.666, 0.610)
Tm (0.667, 0.334, 0.390)

Calculated values
**Calculated formation energy**: 0.02 eV/atom
**Energy relative to the lowest polymorph listed for this composition**: 0 meV/atom
**Total moment**: 0.000 μB/cell
**Fermi-level density of states**: 12.0 states/eV per cell


# BaNaPaS4

An optimized crystal structure of BaNaPaS4 (PBE-GGA, Alexandria via LeMat-Bulk).

Cell: 8.575 8.575 8.575 Å, 144.22 144.22 51.50°
Fractional coordinates of all 7 atoms:
Ba (0.000, 0.000, 0.000)
Na (0.289, 0.289, 0.000)
Pa (0.641, 0.641, 0.000)
S (0.136, 0.636, 0.500)
S (0.472, 0.472, 0.000)
S (0.636, 0.136, 0.500)
S (0.804, 0.804, 0.000)

Calculated values
**Total moment**: 0.000 μB/cell
**E_form (uncorrected)**: -37.46 kcal/mol of atoms


# ZrSeO

An optimized crystal structure of ZrSeO (PBE-GGA, Alexandria via LeMat-Bulk).

Cell: 3.707 3.707 6.694 Å, 90.00 90.00 90.00°
Fractional coordinates of all 6 atoms:
Zr (0.250, 0.250, 0.186)
Zr (0.750, 0.750, 0.814)
Se (0.250, 0.250, 0.628)
Se (0.750, 0.750, 0.372)
O (0.250, 0.750, 0.000)
O (0.750, 0.250, 0.000)

Calculated values
**Energy relative to the lowest polymorph listed for this composition**: 15 meV/atom
**Total moment**: 0.000 μB/cell
**E_form (uncorrected)**: -52.84 kcal/mol of atoms


# Y2VBiSb

An optimized crystal structure of Y2VBiSb (PBE-GGA, Alexandria via LeMat-Bulk).

Cell: 5.777 5.777 5.111 Å, 90.00 90.00 90.00°
Fractional coordinates of all 5 atoms:
Y (0.000, 0.500, 0.000)
Y (0.500, 0.000, 0.000)
V (0.000, 0.000, 0.500)
Bi (0.000, 0.000, 0.000)
Sb (0.500, 0.500, 0.500)

Calculated values
**Total moment**: 4.192 μB/cell
**Fermi-level density of states**: 5.1 states/eV per cell
**E_form (uncorrected)**: 9.12 kcal/mol of atoms


# AsIr2

An optimized crystal structure of AsIr2 (PBE-GGA, Alexandria via LeMat-Bulk).

Cell: 12.607 12.607 12.607 Å, 162.39 162.39 25.01°
Fractional coordinates of all 12 atoms:
As (0.299, 0.549, 0.750)
As (0.451, 0.701, 0.750)
As (0.549, 0.299, 0.250)
As (0.701, 0.451, 0.250)
Ir (0.044, 0.794, 0.250)
Ir (0.122, 0.372, 0.750)
Ir (0.206, 0.956, 0.250)
Ir (0.372, 0.122, 0.250)
Ir (0.628, 0.878, 0.750)
Ir (0.794, 0.044, 0.750)
Ir (0.878, 0.628, 0.250)
Ir (0.956, 0.206, 0.750)

Calculated values
**Calculated formation energy**: 0.22 eV/atom
**Total moment**: 0.000 μB/cell
**Fermi-level density of states**: 7.1 states/eV per cell


# SiSN3

An optimized crystal structure of SiSN3 (PBE-GGA, Alexandria via LeMat-Bulk).

Cell: 3.479 3.479 3.479 Å, 90.00 90.00 90.00°
Fractional coordinates of all 5 atoms:
Si (0.000, 0.000, 0.000)
S (0.500, 0.500, 0.500)
N (0.000, 0.500, 0.500)
N (0.500, 0.000, 0.500)
N (0.500, 0.500, 0.000)

Calculated values
**Total moment**: 0.000 μB/cell
**Fermi-level density of states**: 1.5 states/eV per cell
**E_form (uncorrected)**: 40.68 kcal/mol of atoms